Material: MgTa3Rh
Method: DFT, GGA-PBEsol
State: optimized geometry

Structure (CIF):
```
data_MgTa3Rh
_chemical_formula_sum 'Mg1 Ta3 Rh1'
_space_group_name_H-M_alt 'P m -3 m'
_space_group_IT_number 221
_space_group_name_Hall '-P 4 2 3'
_cell_length_a 4.786
_cell_length_b 4.786
_cell_length_c 4.786
_cell_angle_alpha 90.00
_cell_angle_beta 90.00
_cell_angle_gamma 90.00
loop_
_atom_site_label
_atom_site_type_symbol
_atom_site_fract_x
_atom_site_fract_y
_atom_site_fract_z
_atom_site_occupancy
Mg1 Mg 0.000 0.000 0.000 1
Ta1 Ta 0.000 0.500 0.500 1
Rh1 Rh 0.500 0.500 0.500 1
```

Properties
Fermi-level density of states ... 0.976 states/eV/atom
DFT formation energy ... 1.063 eV per atom